VASP calculation (meta-GGA SCAN) on NaCeO2 at its PBEsol-relaxed geometry.

a = 3.5267 Å, b = 3.5267 Å, c = 5.9198 Å
α = 72.67°, β = 72.67°, γ = 60.00°
Sites, in units of the cell vectors:
Na 0.0000 0.0000 0.0000
Ce 0.5000 0.5000 0.5000
O 0.7602 0.7602 0.7195
O 0.2398 0.2398 0.2805

Summary:
- total moment (μB/cell) = 1.00
- DOS(E_F) (states/eV/atom) = 0.042
- DFT total energy (eV/cell) = -72.67
- space-group type = No. 166
- volume (A^3/atom) = 14.968
- E_form (uncorrected) (eV per atom) = -2.858

=====

VASP calculation (meta-GGA SCAN) on NaCl7 at its PBEsol-relaxed geometry.

a = 5.8529 Å, b = 5.8529 Å, c = 5.8529 Å
α = 90.00°, β = 90.00°, γ = 90.00°
Sites, in units of the cell vectors:
Na 0.0000 0.0000 0.0000
Cl 0.5000 0.5000 0.5000
Cl 0.0000 0.1746 0.5000
Cl 0.0000 0.8254 0.5000
Cl 0.5000 0.0000 0.1746
Cl 0.5000 0.0000 0.8254
Cl 0.1746 0.5000 0.0000
Cl 0.8254 0.5000 0.0000

Summary:
- total moment (μB/cell) = 0.00
- DFT total energy (eV/cell) = -61.89
- space-group type = No. 200
- volume (A^3/atom) = 25.063
- E_form (uncorrected) (eV per atom) = -0.229

=====

VASP calculation (meta-GGA SCAN) on KSi2Pt at its PBEsol-relaxed geometry.

a = 4.0657 Å, b = 4.0657 Å, c = 6.7704 Å
α = 72.53°, β = 72.53°, γ = 60.00°
Sites, in units of the cell vectors:
K 0.5053 0.5053 0.4841
Si 0.9640 0.9640 0.1081
Si 0.7064 0.7064 0.8808
Pt 0.3276 0.3276 0.0173

Summary:
- total moment (μB/cell) = 0.00
- DOS(E_F) (states/eV/atom) = 0.707
- DFT total energy (eV/cell) = -100.27
- space-group type = No. 160
- volume (A^3/atom) = 22.727
- E_form (uncorrected) (eV per atom) = -0.429

=====

VASP calculation (meta-GGA SCAN) on La3TaSi at its PBEsol-relaxed geometry.

a = 5.4129 Å, b = 5.4129 Å, c = 5.4129 Å
α = 90.00°, β = 90.00°, γ = 90.00°
Sites, in units of the cell vectors:
Si 0.5000 0.5000 0.5000
La 0.0000 0.5000 0.0000
La 0.0000 0.0000 0.5000
La 0.5000 0.0000 0.0000
Ta 0.0000 0.0000 0.0000

Summary:
- total moment (μB/cell) = 0.00
- DOS(E_F) (states/eV/atom) = 0.799
- DFT total energy (eV/cell) = -203.56
- space-group type = No. 221
- volume (A^3/atom) = 31.720
- E_form (uncorrected) (eV per atom) = 0.471

=====

VASP calculation (meta-GGA SCAN) on KSrNi at its PBEsol-relaxed geometry.

a = 5.1757 Å, b = 5.1757 Å, c = 5.1757 Å
α = 60.00°, β = 60.00°, γ = 60.00°
Sites, in units of the cell vectors:
K 0.5000 0.5000 0.5000
Ni 0.2500 0.2500 0.2500
Sr 0.0000 0.0000 0.0000

Summary:
- total moment (μB/cell) = 0.00
- energy of formation from the pure elements (meV per atom) = 557
- polymorph energy (0 for the lowest one) (eV/f.u.) = 0.37
- DOS(E_F) (states/eV/atom) = 1.190
- DFT total energy (eV/cell) = -45.11
- space-group type = No. 216
- volume (A^3/atom) = 32.680

=====

VASP calculation (meta-GGA SCAN) on Pb4Au3 at its PBEsol-relaxed geometry.

a = 5.5512 Å, b = 5.5512 Å, c = 6.2400 Å
α = 90.00°, β = 90.00°, γ = 120.00°
Sites, in units of the cell vectors:
Pb 0.0000 0.0000 0.7506
Pb 0.0000 0.0000 0.2494
Pb 0.3333 0.6667 0.5000
Pb 0.6667 0.3333 0.5000
Au 0.0000 0.5000 0.0000
Au 0.5000 0.0000 0.0000
Au 0.5000 0.5000 0.0000

Summary:
- total moment (μB/cell) = 0.00
- energy of formation from the pure elements (meV per atom) = -10
- DOS(E_F) (states/eV/atom) = 0.465
- DFT total energy (eV/cell) = -510.67
- space-group type = No. 191
- volume (A^3/atom) = 23.789

=====

VASP calculation (meta-GGA SCAN) on PrAlCo4 at its PBEsol-relaxed geometry.

a = 3.8091 Å, b = 5.0877 Å, c = 5.0877 Å
α = 120.00°, β = 90.00°, γ = 90.00°
Sites, in units of the cell vectors:
Pr 0.0000 0.0000 0.0000
Co 0.0000 0.3333 0.6667
Co 0.5000 0.0099 0.5049
Co 0.5000 0.4951 0.9901
Co 0.5000 0.4951 0.5049
Al 0.0000 0.6667 0.3333

Summary:
- total moment (μB/cell) = 4.99
- energy of formation from the pure elements (meV per atom) = -104
- DOS(E_F) (states/eV/atom) = 0.713
- DFT total energy (eV/cell) = -120.92
- space-group type = No. 187
- volume (A^3/atom) = 14.231

=====

VASP calculation (meta-GGA SCAN) on NbBi3C at its PBEsol-relaxed geometry.

a = 5.3842 Å, b = 5.3842 Å, c = 5.3842 Å
α = 90.00°, β = 90.00°, γ = 90.00°
Sites, in units of the cell vectors:
C 0.5000 0.5000 0.5000
Nb 0.0000 0.0000 0.0000
Bi 0.0000 0.5000 0.0000
Bi 0.0000 0.0000 0.5000
Bi 0.5000 0.0000 0.0000

Summary:
- total moment (μB/cell) = 2.30
- energy of formation from the pure elements (meV per atom) = 1669
- DOS(E_F) (states/eV/atom) = 0.410
- DFT total energy (eV/cell) = -270.62
- space-group type = No. 221
- volume (A^3/atom) = 31.218

=====

VASP calculation (meta-GGA SCAN) on YCdP2 at its PBEsol-relaxed geometry.

a = 4.2636 Å, b = 4.8685 Å, c = 4.8685 Å
α = 64.56°, β = 64.03°, γ = 64.03°
Sites, in units of the cell vectors:
Cd 0.0000 0.5000 0.5000
P 0.2694 0.7306 0.7306
P 0.7306 0.2694 0.2694
Y 0.5000 0.0000 0.0000

Summary:
- total moment (μB/cell) = 0.00
- energy of formation from the pure elements (meV per atom) = -472
- DOS(E_F) (states/eV/atom) = 0.372
- DFT total energy (eV/cell) = -80.94
- space-group type = No. 71
- volume (A^3/atom) = 19.516

=====

VASP calculation (meta-GGA SCAN) on YTc3Au at its PBEsol-relaxed geometry.

a = 4.7829 Å, b = 4.7829 Å, c = 4.7829 Å
α = 90.00°, β = 90.00°, γ = 90.00°
Sites, in units of the cell vectors:
Y 0.5000 0.5000 0.5000
Au 0.0000 0.0000 0.0000
Tc 0.0000 0.5000 0.0000
Tc 0.0000 0.0000 0.5000
Tc 0.5000 0.0000 0.0000

Summary:
- total moment (μB/cell) = 6.99
- energy of formation from the pure elements (meV per atom) = 1603
- DOS(E_F) (states/eV/atom) = 1.340
- DFT total energy (eV/cell) = -194.17
- space-group type = No. 221
- volume (A^3/atom) = 21.883

=====

VASP calculation (meta-GGA SCAN) on Re2SiTe at its PBEsol-relaxed geometry.

a = 2.8979 Å, b = 3.9809 Å, c = 5.5175 Å
α = 90.00°, β = 90.00°, γ = 90.00°
Sites, in units of the cell vectors:
Re 0.0000 0.0000 0.9923
Re 0.5000 0.5000 0.2911
Si 0.0000 0.0000 0.4325
Te 0.5000 0.5000 0.7841

Summary:
- total moment (μB/cell) = 0.00
- polymorph energy (0 for the lowest one) (eV/f.u.) = 0.09
- DOS(E_F) (states/eV/atom) = 0.483
- DFT total energy (eV/cell) = -187.55
- space-group type = No. 25
- volume (A^3/atom) = 15.913
- E_form (uncorrected) (eV per atom) = 0.479

=====

VASP calculation (meta-GGA SCAN) on PrCuSi at its PBEsol-relaxed geometry.

a = 4.0926 Å, b = 4.0926 Å, c = 4.1391 Å
α = 90.00°, β = 90.00°, γ = 120.00°
Sites, in units of the cell vectors:
Pr 0.3333 0.6667 0.0000
Si 0.6667 0.3333 0.5000
Cu 0.0000 0.0000 0.5000

Summary:
- total moment (μB/cell) = 0.26
- DOS(E_F) (states/eV/atom) = 0.624
- DFT total energy (eV/cell) = -70.44
- space-group type = No. 187
- volume (A^3/atom) = 20.013
- E_form (uncorrected) (eV per atom) = -0.635

=====

VASP calculation (meta-GGA SCAN) on TeAs2Br at its PBEsol-relaxed geometry.

a = 3.7222 Å, b = 3.7222 Å, c = 6.9973 Å
α = 90.00°, β = 90.00°, γ = 90.00°
Sites, in units of the cell vectors:
As 0.0000 0.0000 0.6884
As 0.0000 0.0000 0.3116
Te 0.5000 0.5000 0.5000
Br 0.5000 0.5000 0.0000

Summary:
- total moment (μB/cell) = 0.00
- polymorph energy (0 for the lowest one) (eV/f.u.) = 0.00
- DOS(E_F) (states/eV/atom) = 0.449
- DFT total energy (eV/cell) = -95.99
- space-group type = No. 123
- volume (A^3/atom) = 24.236
- E_form (uncorrected) (eV per atom) = 0.274

=====

VASP calculation (meta-GGA SCAN) on Sb2PAu at its PBEsol-relaxed geometry.

a = 3.8975 Å, b = 4.0673 Å, c = 5.5738 Å
α = 90.00°, β = 90.00°, γ = 90.00°
Sites, in units of the cell vectors:
Sb 0.5000 0.8786 0.0000
Sb 0.0000 0.4082 0.5000
Au 0.0000 0.3764 0.0000
P 0.5000 0.8369 0.5000

Summary:
- total moment (μB/cell) = 0.00
- DOS(E_F) (states/eV/atom) = 0.288
- DFT total energy (eV/cell) = -154.22
- space-group type = No. 25
- volume (A^3/atom) = 22.090
- E_form (uncorrected) (eV per atom) = -0.036

=====

VASP calculation (meta-GGA SCAN) on CoAgP3 at its PBEsol-relaxed geometry.

a = 4.3289 Å, b = 4.3289 Å, c = 4.3289 Å
α = 90.00°, β = 90.00°, γ = 90.00°
Sites, in units of the cell vectors:
P 0.0000 0.5000 0.0000
P 0.0000 0.0000 0.5000
P 0.5000 0.0000 0.0000
Co 0.0000 0.0000 0.0000
Ag 0.5000 0.5000 0.5000

Summary:
- total moment (μB/cell) = 0.00
- energy of formation from the pure elements (meV per atom) = 724
- DOS(E_F) (states/eV/atom) = 0.807
- DFT total energy (eV/cell) = -76.25
- space-group type = No. 221
- volume (A^3/atom) = 16.224

=====

VASP calculation (meta-GGA SCAN) on TbSi3Ir at its PBEsol-relaxed geometry.

a = 4.1578 Å, b = 4.1578 Å, c = 5.6861 Å
α = 111.45°, β = 111.45°, γ = 90.00°
Sites, in units of the cell vectors:
Si 0.7358 0.2358 0.4717
Si 0.2358 0.7358 0.4717
Si 0.5866 0.5866 0.1732
Ir 0.3488 0.3488 0.6976
Tb 0.0030 0.0030 0.0059

Summary:
- total moment (μB/cell) = 0.00
- DOS(E_F) (states/eV/atom) = 0.238
- DFT total energy (eV/cell) = -152.29
- space-group type = No. 107
- volume (A^3/atom) = 16.828
- E_form (uncorrected) (eV per atom) = -0.876

=====

VASP calculation (meta-GGA SCAN) on TeIrRh2 at its PBEsol-relaxed geometry.

a = 3.9176 Å, b = 3.9176 Å, c = 3.9546 Å
α = 90.00°, β = 90.00°, γ = 90.00°
Sites, in units of the cell vectors:
Ir 0.0000 0.0000 0.5000
Rh 0.0000 0.5000 0.0000
Rh 0.5000 0.0000 0.0000
Te 0.5000 0.5000 0.5000

Summary:
- total moment (μB/cell) = 0.00
- DOS(E_F) (states/eV/atom) = 0.625
- DFT total energy (eV/cell) = -175.62
- space-group type = No. 123
- volume (A^3/atom) = 15.174
- E_form (uncorrected) (eV per atom) = 0.069

=====

VASP calculation (meta-GGA SCAN) on NbTe2Ir at its PBEsol-relaxed geometry.

a = 3.5284 Å, b = 3.5284 Å, c = 8.9333 Å
α = 78.61°, β = 78.61°, γ = 60.00°
Sites, in units of the cell vectors:
Nb 0.0000 0.0000 0.0000
Ir 0.5000 0.5000 0.5000
Te 0.8965 0.8965 0.3105
Te 0.1035 0.1035 0.6895

Summary:
- total moment (μB/cell) = 2.09
- DOS(E_F) (states/eV/atom) = 0.763
- DFT total energy (eV/cell) = -176.90
- space-group type = No. 166
- volume (A^3/atom) = 23.445
- E_form (uncorrected) (eV per atom) = 0.457

=====

VASP calculation (meta-GGA SCAN) on SrY2ZnTc at its PBEsol-relaxed geometry.

a = 4.9111 Å, b = 5.4080 Å, c = 5.4080 Å
α = 90.00°, β = 90.00°, γ = 90.00°
Sites, in units of the cell vectors:
Y 0.0000 0.0000 0.5000
Y 0.0000 0.5000 0.0000
Sr 0.0000 0.0000 0.0000
Zn 0.5000 0.0000 0.0000
Tc 0.5000 0.5000 0.5000

Summary:
- total moment (μB/cell) = 2.27
- energy of formation from the pure elements (meV per atom) = 1854
- DOS(E_F) (states/eV/atom) = 0.952
- DFT total energy (eV/cell) = -117.27
- space-group type = No. 123
- volume (A^3/atom) = 28.726

=====

VASP calculation (meta-GGA SCAN) on Hf2H2Au at its PBEsol-relaxed geometry.

a = 3.2068 Å, b = 3.2068 Å, c = 6.5213 Å
α = 104.23°, β = 104.23°, γ = 90.00°
Sites, in units of the cell vectors:
Au 0.0000 0.0000 0.0000
Hf 0.3550 0.3550 0.7100
Hf 0.6450 0.6450 0.2900
H 0.2500 0.7500 0.5000
H 0.7500 0.2500 0.5000

Summary:
- total moment (μB/cell) = 0.00
- DOS(E_F) (states/eV/atom) = 0.521
- DFT total energy (eV/cell) = -204.35
- space-group type = No. 139
- volume (A^3/atom) = 12.576